Computed, not measured: a relaxed structure of FeCuOs2 at the GGA-PBE level of DFT.

a = 4.6058 Å, b = 4.6058 Å, c = 4.6058 Å
α = 132.27°, β = 132.27°, γ = 69.81°
Fractional positions:
1 Fe 0.0000 0.0000 0.0000
2 Cu 0.7500 0.2500 0.5000
3 Os 0.2500 0.7500 0.5000
4 Os 0.5000 0.5000 0.0000

Results
Energy relative to the elements (meV/atom): 279
E above lowest polymorph (meV/atom): 77
Symmetry: I-4m2
Total magnetization (μB/atom): 0.6080

---

Computed, not measured: a relaxed structure of In3Ni at the GGA-PBE level of DFT.

a = 5.1214 Å, b = 9.9672 Å, c = 3.7306 Å
α = 90.00°, β = 90.00°, γ = 90.00°
Fractional positions:
1 In 0.2500 0.0693 0.1549
2 In 0.2500 0.4307 0.1549
3 In 0.2500 0.7500 0.3578
4 In 0.7500 0.2500 0.6422
5 In 0.7500 0.5693 0.8451
6 In 0.7500 0.9307 0.8451
7 Ni 0.2500 0.2500 0.6438
8 Ni 0.7500 0.7500 0.3562

Results
Energy relative to the elements (meV/atom): 57
Symmetry: Pmmn
Total magnetization (μB/atom): 0.0000